Density functional theory data (PBE-GGA) for a relaxed Li2Ac2LaIn2 crystal.

ΔH_f (0 K) = -0.26 eV per atom

POSCAR file:
```
Li2Ac2LaIn2
1.0
-4.400 -2.530 -0.332
0.008 -5.018 -0.832
-1.276 -4.084 9.071
Li La Ac In
2 1 2 2
direct
0.612 0.612 0.163
0.388 0.388 0.837
0.000 0.000 0.000
0.874 0.874 0.377
0.126 0.126 0.623
0.269 0.269 0.194
0.731 0.731 0.806
```

---

Density functional theory data (PBE-GGA) for a relaxed LaTbGa2Pt5 crystal.

ΔH_f (0 K) = -0.90 eV per atom

POSCAR file:
```
LaTbGa2Pt5
1.0
4.262 0.000 0.000
0.000 4.262 0.000
0.000 0.000 9.364
La Pt Tb Ga
1 5 1 2
direct
0.000 0.000 0.500
0.000 0.500 0.267
0.000 0.500 0.733
0.500 0.000 0.267
0.500 0.500 0.500
0.500 0.000 0.733
0.000 0.000 0.000
0.500 0.500 0.869
0.500 0.500 0.131
```

---

Density functional theory data (PBE-GGA) for a relaxed Tb2YRh crystal.

ΔH_f (0 K) = -0.15 eV per atom

POSCAR file:
```
Tb2YRh
1.0
3.645 0.000 0.000
1.822 3.156 0.000
1.822 1.052 10.530
Rh Tb Y
1 2 1
direct
0.500 0.500 0.500
0.889 0.889 0.332
0.111 0.111 0.668
0.000 0.000 0.000
```

---

Density functional theory data (PBE-GGA) for a relaxed InNi2Pd2 crystal.

ΔH_f (0 K) = -0.02 eV per atom

POSCAR file:
```
InNi2Pd2
1.0
6.656 0.000 0.000
0.000 6.656 0.000
0.000 0.000 3.427
Ni Pd In
4 4 2
direct
0.125 0.375 0.000
0.875 0.625 0.000
0.375 0.875 0.000
0.625 0.125 0.000
0.334 0.166 0.500
0.834 0.334 0.500
0.166 0.666 0.500
0.666 0.834 0.500
0.500 0.500 0.000
0.000 0.000 0.000
```

---

Density functional theory data (PBE-GGA) for a relaxed MgCd2Mo crystal.

ΔH_f (0 K) = 0.34 eV per atom

POSCAR file:
```
MgCd2Mo
1.0
5.255 0.004 -0.020
4.460 2.779 -0.020
0.956 0.274 5.274
Cd Mo Mg
2 1 1
direct
0.999 0.999 0.011
0.501 0.501 0.489
0.250 0.250 0.250
0.750 0.750 0.750
```

---

Density functional theory data (PBE-GGA) for a relaxed Sm2Hg6Pb crystal.

ΔH_f (0 K) = -0.21 eV per atom

POSCAR file:
```
Sm2Hg6Pb
1.0
5.923 -0.028 -0.016
0.029 6.815 0.007
0.029 3.402 5.906
Hg Sm Pb
6 2 1
direct
0.673 0.187 0.187
0.329 0.374 0.813
0.671 0.187 0.626
0.671 0.626 0.187
0.327 0.813 0.813
0.329 0.813 0.374
0.185 0.333 0.333
0.815 0.667 0.667
0.000 0.000 0.000
```

---

Density functional theory data (PBE-GGA) for a relaxed Hg5Mo4 crystal.

ΔH_f (0 K) = 0.86 eV per atom

POSCAR file:
```
Hg5Mo4
1.0
8.332 0.000 0.000
4.166 7.216 0.000
0.000 0.000 5.618
Mo Hg
8 10
direct
0.367 0.633 0.750
0.633 0.000 0.750
0.000 0.000 0.000
0.633 0.367 0.250
0.000 0.633 0.250
0.000 0.000 0.500
0.367 0.000 0.250
0.000 0.367 0.750
0.705 0.000 0.250
0.295 0.000 0.750
0.333 0.333 0.000
0.667 0.667 0.500
0.295 0.705 0.250
0.333 0.333 0.500
0.705 0.295 0.750
0.000 0.295 0.250
0.667 0.667 0.000
0.000 0.705 0.750
```

---

Density functional theory data (PBE-GGA) for a relaxed Cd3SbPb crystal.

Raw formation energy = 0.43 eV per atom

POSCAR file:
```
Cd3SbPb
1.0
5.576 0.000 0.000
0.000 5.576 0.000
0.000 0.000 5.576
Pb Sb Cd
1 1 3
direct
0.500 0.500 0.500
0.000 0.000 0.000
0.000 0.000 0.500
0.500 0.000 0.000
0.000 0.500 0.000
```

---

Density functional theory data (PBE-GGA) for a relaxed BeCdF5 crystal.

Raw formation energy = -2.24 eV per atom

POSCAR file:
```
BeCdF5
1.0
-1.412 -4.468 2.848
3.038 -3.376 -3.072
4.549 5.118 4.363
F Cd Be
10 2 2
direct
0.198 0.658 0.326
0.801 0.751 0.421
0.594 0.906 0.750
0.406 0.094 0.250
0.802 0.342 0.674
0.842 0.302 0.174
0.158 0.698 0.826
0.199 0.249 0.579
0.749 0.699 0.079
0.251 0.301 0.921
0.500 0.000 0.500
0.500 0.000 0.000
0.109 0.391 0.750
0.891 0.609 0.250
```

---

Density functional theory data (PBE-GGA) for a relaxed La2MgSiPt6 crystal.

Raw formation energy = -0.96 eV per atom

POSCAR file:
```
La2MgSiPt6
1.0
-2.936 1.045 -4.677
1.584 -7.775 -2.731
-7.306 -2.874 3.944
Pt Mg Si La
12 2 2 4
direct
0.746 0.008 0.000
0.250 0.459 0.500
0.246 0.992 0.500
0.250 0.541 0.000
0.254 0.008 0.000
0.750 0.541 0.000
0.000 0.897 0.751
0.750 0.459 0.500
0.000 0.897 0.249
0.500 0.103 0.749
0.754 0.992 0.500
0.500 0.103 0.251
0.500 0.282 0.000
0.000 0.718 0.500
0.500 0.229 0.500
0.000 0.771 0.000
0.000 0.272 0.246
0.000 0.272 0.754
0.500 0.728 0.254
0.500 0.728 0.746
```

---

Density functional theory data (PBE-GGA) for a relaxed Ti2MnV crystal.

ΔH_f (0 K) = 0.01 eV per atom

POSCAR file:
```
Ti2MnV
1.0
2.729 0.484 0.000
0.153 5.094 0.000
0.000 0.000 4.107
V Ti Mn
1 2 1
direct
0.250 0.250 0.500
0.959 0.988 0.000
0.541 0.512 0.000
0.750 0.750 0.500
```

---

Density functional theory data (PBE-GGA) for a relaxed BaScB12 crystal.

ΔH_f (0 K) = -0.30 eV per atom

POSCAR file:
```
BaScB12
1.0
5.114 0.000 2.953
1.705 4.822 2.953
0.000 0.000 5.905
B Sc Ba
12 1 1
direct
0.899 0.601 0.601
0.399 0.399 0.101
0.899 0.899 0.601
0.601 0.601 0.899
0.399 0.101 0.399
0.399 0.101 0.101
0.101 0.101 0.399
0.601 0.899 0.601
0.899 0.601 0.899
0.101 0.399 0.101
0.101 0.399 0.399
0.601 0.899 0.899
0.500 0.500 0.500
0.000 0.000 0.000
```

---

Density of states at the Fermi level (states/eV per cell)
5.31, 5.16, 4.97, 3.53, 2.85, 5.54, 19.06, 4.36, 11.64, 7.96, 6.40, 3.52